Entry 1:
This record from Alexandria describes TbPdAu4 after structural relaxation. The functional is PBE-GGA.

Structure (CIF):
```
data_TbPdAu4
_chemical_formula_sum 'Tb4 Pd4 Au16'
_cell_length_a 7.772
_cell_length_b 7.772
_cell_length_c 7.772
_cell_angle_alpha 90.00
_cell_angle_beta 90.00
_cell_angle_gamma 90.00
_space_group_name_H-M_alt 'F -4 3 m'
_space_group_IT_number 216
_space_group_name_Hall 'F -4 2 3'
loop_
_atom_site_label
_atom_site_fract_x
_atom_site_fract_y
_atom_site_fract_z
_atom_site_occupancy
Tb1 0.000 0.000 0.000 1
Pd1 0.250 0.250 0.750 1
Au1 0.125 0.125 0.375 1
```

Final energy (eV/atom): -4.28
Calculated formation energy (eV/atom): -0.454
Offset from the most stable computed form (eV/atom): 0.0595

Entry 2:
This record from Alexandria describes TbPdAu4 after structural relaxation. The functional is PBE-GGA.

Structure (CIF):
```
data_TbPdAu4
_chemical_formula_sum 'Tb4 Pd4 Au16'
_cell_length_a 5.640
_cell_length_b 16.739
_cell_length_c 4.855
_cell_angle_alpha 90.00
_cell_angle_beta 90.08
_cell_angle_gamma 90.00
_space_group_name_H-M_alt 'C 1 2/c 1'
_space_group_IT_number 15
_space_group_name_Hall '-C 2yc'
loop_
_atom_site_label
_atom_site_fract_x
_atom_site_fract_y
_atom_site_fract_z
_atom_site_occupancy
Tb1 0.000 0.122 0.250 1
Pd1 0.000 0.372 0.750 1
Au1 0.243 0.458 0.249 1
Au2 0.248 0.292 0.250 1
```

Final energy (eV/atom): -4.34
Calculated formation energy (eV/atom): -0.514
Offset from the most stable computed form (eV/atom): 0.0000

Entry 3:
This record from Alexandria describes TbPd4Au2 after structural relaxation. The functional is PBE-GGA.

Structure (CIF):
```
data_TbPd4Au2
_chemical_formula_sum 'Tb4 Pd16 Au8'
_cell_length_a 8.043
_cell_length_b 8.043
_cell_length_c 8.174
_cell_angle_alpha 90.00
_cell_angle_beta 90.00
_cell_angle_gamma 90.00
_space_group_name_H-M_alt 'I -4 2 d'
_space_group_IT_number 122
_space_group_name_Hall 'I -4 2bw'
loop_
_atom_site_label
_atom_site_fract_x
_atom_site_fract_y
_atom_site_fract_z
_atom_site_occupancy
Tb1 0.000 0.000 0.000 1
Pd1 0.084 0.654 0.941 1
Au1 0.151 0.750 0.625 1
```

Final energy (eV/atom): -4.88
Calculated formation energy (eV/atom): -0.318
Offset from the most stable computed form (eV/atom): 0.1553

Entry 4:
This record from Alexandria describes TbPd4Au after structural relaxation. The functional is PBE-GGA.

Structure (CIF):
```
data_TbPd4Au
_chemical_formula_sum 'Tb4 Pd16 Au4'
_cell_length_a 7.545
_cell_length_b 7.545
_cell_length_c 7.545
_cell_angle_alpha 90.00
_cell_angle_beta 90.00
_cell_angle_gamma 90.00
_space_group_name_H-M_alt 'F -4 3 m'
_space_group_IT_number 216
_space_group_name_Hall 'F -4 2 3'
loop_
_atom_site_label
_atom_site_fract_x
_atom_site_fract_y
_atom_site_fract_z
_atom_site_occupancy
Tb1 0.000 0.000 0.000 1
Pd1 0.125 0.125 0.625 1
Au1 0.250 0.250 0.250 1
```

Final energy (eV/atom): -5.36
Calculated formation energy (eV/atom): -0.579
Offset from the most stable computed form (eV/atom): 0.0000

Entry 5:
This record from Alexandria describes Tb4Pd7Au6 after structural relaxation. The functional is PBE-GGA.

Structure (CIF):
```
data_Tb4Pd7Au6
_chemical_formula_sum 'Tb8 Pd14 Au12'
_cell_length_a 8.724
_cell_length_b 8.724
_cell_length_c 8.724
_cell_angle_alpha 90.00
_cell_angle_beta 90.00
_cell_angle_gamma 90.00
_space_group_name_H-M_alt 'I m -3 m'
_space_group_IT_number 229
_space_group_name_Hall '-I 4 2 3'
loop_
_atom_site_label
_atom_site_fract_x
_atom_site_fract_y
_atom_site_fract_z
_atom_site_occupancy
Tb1 0.250 0.250 0.250 1
Pd1 0.000 0.000 0.000 1
Pd2 0.000 0.250 0.500 1
Au1 0.000 0.000 0.303 1
```

Final energy (eV/atom): -5.06
Calculated formation energy (eV/atom): -0.674

Entry 6:
This record from Alexandria describes TbPd6Au5 after structural relaxation. The functional is PBE-GGA.

Structure (CIF):
```
data_TbPd6Au5
_chemical_formula_sum 'Tb2 Pd12 Au10'
_cell_length_a 4.265
_cell_length_b 7.719
_cell_length_c 12.582
_cell_angle_alpha 90.00
_cell_angle_beta 90.00
_cell_angle_gamma 90.00
_space_group_name_H-M_alt 'I m m m'
_space_group_IT_number 71
_space_group_name_Hall '-I 2 2'
loop_
_atom_site_label
_atom_site_fract_x
_atom_site_fract_y
_atom_site_fract_z
_atom_site_occupancy
Tb1 0.000 0.000 0.000 1
Pd1 0.000 0.243 0.500 1
Pd2 0.000 0.254 0.168 1
Au1 0.000 0.000 0.331 1
Au2 0.000 0.500 0.000 1
Au3 0.000 0.500 0.335 1
```

Final energy (eV/atom): -4.71
Calculated formation energy (eV/atom): -0.358
Offset from the most stable computed form (eV/atom): 0.0043

Entry 7:
This record from Alexandria describes Tb5Pd12Au2 after structural relaxation. The functional is PBE-GGA.

Structure (CIF):
```
data_Tb5Pd12Au2
_chemical_formula_sum 'Tb10 Pd24 Au4'
_cell_length_a 16.996
_cell_length_b 5.571
_cell_length_c 8.928
_cell_angle_alpha 90.00
_cell_angle_beta 110.72
_cell_angle_gamma 90.00
_space_group_name_H-M_alt 'C 1 2/m 1'
_space_group_IT_number 12
_space_group_name_Hall '-C 2y'
loop_
_atom_site_label
_atom_site_fract_x
_atom_site_fract_y
_atom_site_fract_z
_atom_site_occupancy
Tb1 0.000 0.000 0.000 1
Tb2 0.122 0.500 0.364 1
Tb3 0.185 0.500 0.853 1
Pd1 0.025 0.500 0.873 1
Pd2 0.112 0.000 0.791 1
Pd3 0.155 0.246 0.106 1
Pd4 0.210 0.232 0.615 1
Au1 0.000 0.247 0.500 1
```

Final energy (eV/atom): -5.34
Calculated formation energy (eV/atom): -0.500

Entry 8:
This record from Alexandria describes Tb2Pd7Au after structural relaxation. The functional is PBE-GGA.

Structure (CIF):
```
data_Tb2Pd7Au
_chemical_formula_sum 'Tb4 Pd14 Au2'
_cell_length_a 7.331
_cell_length_b 15.202
_cell_length_c 3.890
_cell_angle_alpha 90.00
_cell_angle_beta 90.00
_cell_angle_gamma 90.00
_space_group_name_H-M_alt 'C m m m'
_space_group_IT_number 65
_space_group_name_Hall '-C 2 2'
loop_
_atom_site_label
_atom_site_fract_x
_atom_site_fract_y
_atom_site_fract_z
_atom_site_occupancy
Tb1 0.000 0.192 0.000 1
Pd1 0.000 0.000 0.000 1
Pd2 0.000 0.318 0.500 1
Pd3 0.190 0.404 0.000 1
Au1 0.000 0.500 0.500 1
```

Final energy (eV/atom): -5.02
Calculated formation energy (eV/atom): -0.135

Entry 9:
This record from Alexandria describes TbPd3Au9 after structural relaxation. The functional is PBE-GGA.

Structure (CIF):
```
data_TbPd3Au9
_chemical_formula_sum 'Tb2 Pd6 Au18'
_cell_length_a 5.642
_cell_length_b 13.076
_cell_length_c 7.193
_cell_angle_alpha 90.00
_cell_angle_beta 112.31
_cell_angle_gamma 90.00
_space_group_name_H-M_alt 'C 1 2/m 1'
_space_group_IT_number 12
_space_group_name_Hall '-C 2y'
loop_
_atom_site_label
_atom_site_fract_x
_atom_site_fract_y
_atom_site_fract_z
_atom_site_occupancy
Tb1 0.000 0.000 0.000 1
Pd1 0.000 0.000 0.500 1
Pd2 0.250 0.250 0.000 1
Au1 0.000 0.500 0.500 1
Au2 0.110 0.392 0.214 1
Au3 0.157 0.170 0.332 1
```

Final energy (eV/atom): -4.07
Calculated formation energy (eV/atom): -0.244

Entry 10:
This record from Alexandria describes Tb2Pd2Au after structural relaxation. The functional is PBE-GGA.

Structure (CIF):
```
data_Tb2Pd2Au
_chemical_formula_sum 'Tb4 Pd4 Au2'
_cell_length_a 7.610
_cell_length_b 7.610
_cell_length_c 3.721
_cell_angle_alpha 90.00
_cell_angle_beta 90.00
_cell_angle_gamma 90.00
_space_group_name_H-M_alt 'P 4/m b m'
_space_group_IT_number 127
_space_group_name_Hall '-P 4 2ab'
loop_
_atom_site_label
_atom_site_fract_x
_atom_site_fract_y
_atom_site_fract_z
_atom_site_occupancy
Tb1 0.174 0.326 0.000 1
Pd1 0.129 0.629 0.500 1
Au1 0.000 0.000 0.500 1
```

Final energy (eV/atom): -5.47
Calculated formation energy (eV/atom): -0.887

Entry 11:
This record from Alexandria describes Tb3Pd2Au after structural relaxation. The functional is PBE-GGA.

Structure (CIF):
```
data_Tb3Pd2Au
_chemical_formula_sum 'Tb18 Pd12 Au6'
_cell_length_a 7.4049
_cell_length_b 7.4049
_cell_length_c 19.1126
_cell_angle_alpha 90.00
_cell_angle_beta 90.00
_cell_angle_gamma 120.00
_space_group_name_H-M_alt 'R -3 c'
_space_group_IT_number 167
_space_group_name_Hall '-R 3 2"c'
loop_
_atom_site_label
_atom_site_fract_x
_atom_site_fract_y
_atom_site_fract_z
_atom_site_occupancy
Tb1 0.0000 0.3019 0.2500 1
Pd1 0.0000 0.0000 0.1517 1
Au1 0.0000 0.0000 0.0000 1
```

Final energy (eV/atom): -5.35
Calculated formation energy (eV/atom): -0.756

Entry 12:
This record from Alexandria describes TbPd3Au6 after structural relaxation. The functional is PBE-GGA.

Structure (CIF):
```
data_TbPd3Au6
_chemical_formula_sum 'Tb2 Pd6 Au12'
_cell_length_a 7.729
_cell_length_b 4.852
_cell_length_c 10.122
_cell_angle_alpha 90.00
_cell_angle_beta 108.00
_cell_angle_gamma 90.00
_space_group_name_H-M_alt 'P 1 21/m 1'
_space_group_IT_number 11
_space_group_name_Hall '-P 2yb'
loop_
_atom_site_label
_atom_site_fract_x
_atom_site_fract_y
_atom_site_fract_z
_atom_site_occupancy
Tb1 0.201 0.250 0.131 1
Pd1 0.006 0.250 0.335 1
Pd2 0.202 0.750 0.464 1
Pd3 0.402 0.250 0.929 1
Au1 0.006 0.250 0.824 1
Au2 0.190 0.250 0.624 1
Au3 0.208 0.750 0.959 1
Au4 0.389 0.750 0.758 1
Au5 0.399 0.250 0.436 1
Au6 0.407 0.750 0.270 1
```

Final energy (eV/atom): -4.33
Calculated formation energy (eV/atom): -0.342
Offset from the most stable computed form (eV/atom): 0.0000

Entry 13:
This record from Alexandria describes Tb5Pd2Au after structural relaxation. The functional is PBE-GGA.

Structure (CIF):
```
data_Tb5Pd2Au
_chemical_formula_sum 'Tb20 Pd8 Au4'
_cell_length_a 7.832
_cell_length_b 7.832
_cell_length_c 13.136
_cell_angle_alpha 90.00
_cell_angle_beta 90.00
_cell_angle_gamma 90.00
_space_group_name_H-M_alt 'I 4/m c m'
_space_group_IT_number 140
_space_group_name_Hall '-I 4 2c'
loop_
_atom_site_label
_atom_site_fract_x
_atom_site_fract_y
_atom_site_fract_z
_atom_site_occupancy
Tb1 0.000 0.000 0.000 1
Tb2 0.162 0.338 0.143 1
Pd1 0.132 0.368 0.500 1
Au1 0.000 0.000 0.250 1
```

Final energy (eV/atom): -5.26
Calculated formation energy (eV/atom): -0.662

Entry 14:
This record from Alexandria describes Tb2PdAu2 after structural relaxation. The functional is PBE-GGA.

Structure (CIF):
```
data_Tb2PdAu2
_chemical_formula_sum 'Tb8 Pd4 Au8'
_cell_length_a 6.337
_cell_length_b 12.918
_cell_length_c 5.942
_cell_angle_alpha 90.00
_cell_angle_beta 90.00
_cell_angle_gamma 90.00
_space_group_name_H-M_alt 'I b a m'
_space_group_IT_number 72
_space_group_name_Hall '-I 2 2c'
loop_
_atom_site_label
_atom_site_fract_x
_atom_site_fract_y
_atom_site_fract_z
_atom_site_occupancy
Tb1 0.233 0.147 0.000 1
Pd1 0.000 0.500 0.250 1
Au1 0.227 0.125 0.500 1
```

Final energy (eV/atom): -4.95
Calculated formation energy (eV/atom): -0.752

Entry 15:
This record from Alexandria describes Tb5Pd12Au3 after structural relaxation. The functional is PBE-GGA.

Structure (CIF):
```
data_Tb5Pd12Au3
_chemical_formula_sum 'Tb40 Pd96 Au24'
_cell_length_a 15.606
_cell_length_b 15.606
_cell_length_c 15.606
_cell_angle_alpha 90.00
_cell_angle_beta 90.00
_cell_angle_gamma 90.00
_space_group_name_H-M_alt 'I a -3 d'
_space_group_IT_number 230
_space_group_name_Hall '-I 4bd 2c 3'
loop_
_atom_site_label
_atom_site_fract_x
_atom_site_fract_y
_atom_site_fract_z
_atom_site_occupancy
Tb1 0.000 0.000 0.000 1
Tb2 0.000 0.250 0.375 1
Pd1 0.006 0.079 0.653 1
Au1 0.000 0.250 0.125 1
```

Final energy (eV/atom): -4.89
Calculated formation energy (eV/atom): -0.120

Entry 16:
This record from Alexandria describes Tb3Pd6Au after structural relaxation. The functional is PBE-GGA.

Structure (CIF):
```
data_Tb3Pd6Au
_chemical_formula_sum 'Tb12 Pd24 Au4'
_cell_length_a 10.599
_cell_length_b 15.857
_cell_length_c 4.742
_cell_angle_alpha 90.00
_cell_angle_beta 90.00
_cell_angle_gamma 90.00
_space_group_name_H-M_alt 'C m c 21'
_space_group_IT_number 36
_space_group_name_Hall 'C 2c -2'
loop_
_atom_site_label
_atom_site_fract_x
_atom_site_fract_y
_atom_site_fract_z
_atom_site_occupancy
Tb1 0.000 0.102 0.000 1
Tb2 0.168 0.396 0.415 1
Pd1 0.000 0.206 0.524 1
Pd2 0.000 0.459 0.887 1
Pd3 0.159 0.051 0.474 1
Pd4 0.244 0.210 0.337 1
Au1 0.000 0.294 0.019 1
```

Final energy (eV/atom): -5.54
Calculated formation energy (eV/atom): -0.704

Entry 17:
This record from Alexandria describes Tb8Pd2Au after structural relaxation. The functional is PBE-GGA.

Structure (CIF):
```
data_Tb8Pd2Au
_chemical_formula_sum 'Tb16 Pd4 Au2'
_cell_length_a 8.445
_cell_length_b 13.330
_cell_length_c 5.828
_cell_angle_alpha 90.00
_cell_angle_beta 108.66
_cell_angle_gamma 90.00
_space_group_name_H-M_alt 'C 1 m 1'
_space_group_IT_number 8
_space_group_name_Hall 'C -2y'
loop_
_atom_site_label
_atom_site_fract_x
_atom_site_fract_y
_atom_site_fract_z
_atom_site_occupancy
Tb1 0.000 0.000 0.000 1
Tb2 0.089 0.374 0.787 1
Tb3 0.161 0.126 0.591 1
Tb4 0.247 0.500 0.366 1
Tb5 0.376 0.221 0.183 1
Pd1 0.373 0.301 0.680 1
Au1 0.375 0.000 0.046 1
```

Final energy (eV/atom): -4.96
Calculated formation energy (eV/atom): -0.354
Offset from the most stable computed form (eV/atom): 0.1057